Tb3TlHg2 | GGA-PBE | relaxed

Properties
ΔE_f in eV/f.u.: -2.618
Raw total energy in eV per cell: -19.48
N(E_F) in states/eV per cell: 7.31
Total magnetization in μB per formula unit: 0.510

The structure in CIF format:
```
data_Tb3TlHg2
_cell_length_a 3.748
_cell_length_b 3.748
_cell_length_c 11.373
_cell_angle_alpha 90.00
_cell_angle_beta 90.00
_cell_angle_gamma 90.00
_symmetry_space_group_name_H-M 'P 4/m m m'
_symmetry_Int_Tables_number 123
_symmetry_space_group_name_Hall '-P 4 2'
loop_
_atom_site_label
_atom_site_type_symbol
_atom_site_fract_x
_atom_site_fract_y
_atom_site_fract_z
_atom_site_occupancy
Tb1 Tb 0.000 0.000 0.000 1
Tb2 Tb 0.000 0.000 0.325 1
Tl1 Tl 0.500 0.500 0.500 1
Hg1 Hg 0.500 0.500 0.162 1
```